(1)
Compound: LiRhPb2
Source: Alexandria
Functional: PBEsol
Structure: relaxed

Unit cell a=3.422 b=3.422 c=6.865 alpha=90.00 beta=90.11 gamma=90.00
Atoms (fractional coordinates):
Li (0.000, 0.000, 0.000)
Rh (0.000, 0.000, 0.500)
Pb (0.499, 0.500, 0.270)
Pb (0.501, 0.500, 0.730)

formation energy from the elements = -0.12 eV per atom
total DFT energy (no corrections) = -0.171 hartree per atom

---

(2)
Compound: LiRhPb
Source: Alexandria
Functional: PBEsol
Structure: relaxed

Unit cell a=4.958 b=4.958 c=4.958 alpha=140.43 beta=140.43 gamma=57.20
Atoms (fractional coordinates):
Li (0.000, 0.000, 0.000)
Rh (0.647, 0.647, 0.000)
Pb (0.321, 0.321, 0.000)

formation energy from the elements = -0.19 eV per atom
total DFT energy (no corrections) = -0.180 hartree per atom

---

(3)
Compound: LiRhPb
Source: Alexandria
Functional: PBEsol
Structure: relaxed

Unit cell a=4.376 b=4.376 c=4.376 alpha=60.00 beta=60.00 gamma=60.00
Atoms (fractional coordinates):
Li (0.000, 0.000, 0.000)
Rh (0.500, 0.500, 0.500)
Pb (0.750, 0.750, 0.750)

formation energy from the elements = 0.07 eV per atom
total DFT energy (no corrections) = -0.170 hartree per atom

---

(4)
Compound: LiRhPb
Source: Alexandria
Functional: PBEsol
Structure: relaxed

Unit cell a=4.368 b=4.368 c=3.015 alpha=90.00 beta=90.00 gamma=120.00
Atoms (fractional coordinates):
Li (0.000, 0.000, 0.000)
Rh (0.667, 0.333, 0.268)
Pb (0.333, 0.667, 0.638)

formation energy from the elements = -0.11 eV per atom
total DFT energy (no corrections) = -0.177 hartree per atom

---

(5)
Compound: LiRhPb2
Source: Alexandria
Functional: PBEsol
Structure: relaxed

Unit cell a=5.581 b=5.581 c=5.581 alpha=137.41 beta=137.41 gamma=61.80
Atoms (fractional coordinates):
Li (0.000, 0.000, 0.000)
Rh (0.250, 0.750, 0.500)
Pb (0.500, 0.500, 0.000)
Pb (0.750, 0.250, 0.500)

formation energy from the elements = -0.01 eV per atom
total DFT energy (no corrections) = -0.167 hartree per atom

---

(6)
Compound: LiRhPb2
Source: Alexandria
Functional: PBEsol
Structure: relaxed

Unit cell a=4.388 b=5.396 c=5.396 alpha=37.78 beta=90.00 gamma=90.00
Atoms (fractional coordinates):
Li (0.000, 0.000, 0.000)
Rh (0.500, 0.143, 0.143)
Pb (0.000, 0.721, 0.721)
Pb (0.500, 0.427, 0.427)

formation energy from the elements = -0.10 eV per atom
total DFT energy (no corrections) = -0.170 hartree per atom

---

(7)
Compound: LiRu2Pb
Source: Alexandria
Functional: PBEsol
Structure: relaxed

Unit cell a=4.578 b=4.578 c=4.957 alpha=97.98 beta=97.98 gamma=37.63
Atoms (fractional coordinates):
Li (0.000, 0.000, 0.000)
Ru (0.494, 0.494, 0.446)
Ru (0.753, 0.753, 0.266)
Pb (0.244, 0.244, 0.762)

formation energy from the elements = 0.38 eV per atom
total DFT energy (no corrections) = -0.228 hartree per atom

---

(8)
Compound: LiRu2Pb
Source: Alexandria
Functional: PBEsol
Structure: relaxed

Unit cell a=2.913 b=3.655 c=5.875 alpha=90.00 beta=90.00 gamma=90.00
Atoms (fractional coordinates):
Li (0.000, 0.000, 0.000)
Ru (0.000, 0.000, 0.566)
Ru (0.500, 0.500, 0.761)
Pb (0.500, 0.500, 0.265)

formation energy from the elements = 0.32 eV per atom
total DFT energy (no corrections) = -0.230 hartree per atom

---

(9)
Compound: Li2RuPb
Source: Alexandria
Functional: PBEsol
Structure: relaxed

Unit cell a=3.886 b=3.886 c=4.185 alpha=90.00 beta=90.00 gamma=90.00
Atoms (fractional coordinates):
Li (0.000, 0.500, 0.000)
Li (0.500, 0.000, 0.000)
Ru (0.000, 0.000, 0.500)
Pb (0.500, 0.500, 0.500)

formation energy from the elements = 0.11 eV per atom
total DFT energy (no corrections) = -0.162 hartree per atom

---

(10)
Compound: Li2RuPb
Source: Alexandria
Functional: PBEsol
Structure: relaxed

Unit cell a=5.060 b=5.060 c=5.060 alpha=135.05 beta=135.05 gamma=65.45
Atoms (fractional coordinates):
Li (0.250, 0.750, 0.500)
Li (0.750, 0.250, 0.500)
Ru (0.000, 0.000, 0.000)
Pb (0.500, 0.500, 0.000)

formation energy from the elements = 0.12 eV per atom
total DFT energy (no corrections) = -0.162 hartree per atom

---

(11)
Compound: LiRu2Pb
Source: Alexandria
Functional: PBEsol
Structure: relaxed

Unit cell a=4.610 b=4.610 c=4.966 alpha=99.08 beta=99.08 gamma=36.72
Atoms (fractional coordinates):
Li (0.000, 0.000, 0.000)
Ru (0.250, 0.250, 0.788)
Ru (0.750, 0.750, 0.212)
Pb (0.500, 0.500, 0.500)

formation energy from the elements = 0.40 eV per atom
total DFT energy (no corrections) = -0.227 hartree per atom

---

(12)
Compound: Li2RuPb
Source: Alexandria
Functional: PBEsol
Structure: relaxed

Unit cell a=9.469 b=9.469 c=9.469 alpha=18.05 beta=18.05 gamma=18.05
Atoms (fractional coordinates):
Li (0.240, 0.240, 0.240)
Li (0.760, 0.760, 0.760)
Ru (0.500, 0.500, 0.500)
Pb (0.000, 0.000, 0.000)

formation energy from the elements = 0.38 eV per atom
total DFT energy (no corrections) = -0.152 hartree per atom

---

(13)
Compound: LiRu2Pb
Source: Alexandria
Functional: PBEsol
Structure: relaxed

Unit cell a=2.905 b=2.905 c=8.157 alpha=90.00 beta=90.00 gamma=90.00
Atoms (fractional coordinates):
Li (0.000, 0.000, 0.000)
Ru (0.000, 0.000, 0.583)
Ru (0.500, 0.500, 0.767)
Pb (0.500, 0.500, 0.317)

formation energy from the elements = 0.29 eV per atom
total DFT energy (no corrections) = -0.231 hartree per atom

---

(14)
Compound: Li2RuPb
Source: Alexandria
Functional: PBEsol
Structure: relaxed

Unit cell a=5.003 b=5.003 c=2.895 alpha=90.00 beta=90.00 gamma=114.65
Atoms (fractional coordinates):
Li (0.000, 0.500, 0.000)
Li (0.500, 0.000, 0.000)
Ru (0.000, 0.000, 0.500)
Pb (0.500, 0.500, 0.500)

formation energy from the elements = 0.23 eV per atom
total DFT energy (no corrections) = -0.158 hartree per atom

---

(15)
Compound: LiRu2Pb
Source: Alexandria
Functional: PBEsol
Structure: relaxed

Unit cell a=4.421 b=4.421 c=4.421 alpha=60.00 beta=60.00 gamma=60.00
Atoms (fractional coordinates):
Li (0.000, 0.000, 0.000)
Ru (0.500, 0.500, 0.500)
Ru (0.750, 0.750, 0.750)
Pb (0.250, 0.250, 0.250)

formation energy from the elements = 0.32 eV per atom
total DFT energy (no corrections) = -0.230 hartree per atom

---

(16)
Compound: Li3PbS
Source: Alexandria
Functional: PBEsol
Structure: relaxed

Unit cell a=4.600 b=4.600 c=4.600 alpha=90.00 beta=90.00 gamma=90.00
Atoms (fractional coordinates):
Li (0.000, 0.000, 0.500)
Li (0.000, 0.500, 0.000)
Li (0.500, 0.000, 0.000)
Pb (0.500, 0.500, 0.500)
S (0.000, 0.000, 0.000)

total DFT energy (no corrections) = -0.127 hartree per atom
raw formation energy = -0.60 eV/atom

---

(17)
Compound: Li2PbS
Source: Alexandria
Functional: PBEsol
Structure: relaxed

Unit cell a=4.711 b=4.711 c=4.711 alpha=60.00 beta=60.00 gamma=60.00
Atoms (fractional coordinates):
Li (0.250, 0.250, 0.250)
Li (0.750, 0.750, 0.750)
Pb (0.000, 0.000, 0.000)
S (0.500, 0.500, 0.500)

total DFT energy (no corrections) = -0.126 hartree per atom
raw formation energy = -0.35 eV/atom

---

(18)
Compound: LiTi2PbS
Source: Alexandria
Functional: PBEsol
Structure: relaxed

Unit cell a=4.730 b=4.730 c=3.840 alpha=90.00 beta=90.00 gamma=90.00
Atoms (fractional coordinates):
Li (0.000, 0.000, 0.000)
Ti (0.000, 0.500, 0.000)
Ti (0.500, 0.000, 0.000)
Pb (0.500, 0.500, 0.500)
S (0.000, 0.000, 0.500)

total DFT energy (no corrections) = -0.186 hartree per atom
raw formation energy = 0.33 eV/atom

---

(19)
Compound: Li2Sb2Pb
Source: Alexandria
Functional: PBEsol
Structure: relaxed

Unit cell a=8.516 b=8.516 c=3.151 alpha=90.00 beta=90.00 gamma=90.00
Atoms (fractional coordinates):
Li (0.117, 0.383, 0.000)
Li (0.383, 0.883, 0.000)
Li (0.617, 0.117, 0.000)
Li (0.883, 0.617, 0.000)
Sb (0.180, 0.680, 0.500)
Sb (0.320, 0.180, 0.500)
Sb (0.680, 0.820, 0.500)
Sb (0.820, 0.320, 0.500)
Pb (0.000, 0.000, 0.000)
Pb (0.500, 0.500, 0.000)

total DFT energy (no corrections) = -0.136 hartree per atom
relative energy among the computed polymorphs = 0.0000 eV per atom
raw formation energy = -0.29 eV/atom

---

(20)
Compound: LiSb2Pb
Source: Alexandria
Functional: PBEsol
Structure: relaxed

Unit cell a=3.370 b=4.340 c=6.923 alpha=90.00 beta=90.00 gamma=90.00
Atoms (fractional coordinates):
Li (0.000, 0.000, 0.000)
Sb (0.500, 0.500, 0.212)
Sb (0.500, 0.500, 0.788)
Pb (0.000, 0.000, 0.500)

total DFT energy (no corrections) = -0.144 hartree per atom
raw formation energy = -0.15 eV/atom